Entry 1:
Material: InNiIr4
Method: DFT, PBE
State: optimized geometry

abc: 7.347 7.347 7.347
angles: 90.00 90.00 90.00
Space group F-43m (No. 216)
Symmetry-distinct sites (fractional):
In 0.000 0.000 0.000 [4 per cell]
Ni 0.250 0.250 0.750 [4 per cell]
Ir 0.125 0.125 0.375 [16 per cell]

Values from the calculation:
Energy: -6.882 eV/atom
Energy relative to the elements: 0.445 eV per atom

=====

Entry 2:
Material: CaOs2Ru
Method: DFT, PBE
State: optimized geometry

abc: 2.7997 2.7997 28.4633
angles: 90.00 90.00 120.00
Space group R-3m (No. 166, hexagonal axes)
Symmetry-distinct sites (fractional):
Ca 0.0000 0.0000 0.0000 [3 per cell]
Os 0.0000 0.0000 0.2420 [6 per cell]
Ru 0.0000 0.0000 0.5000 [3 per cell]

Values from the calculation:
Energy: -7.857 eV/atom
Energy relative to the elements: 0.577 eV per atom

=====

Entry 3:
Material: LaDyHo2
Method: DFT, PBE
State: optimized geometry

abc: 7.287 12.583 5.737
angles: 90.00 90.00 90.00
Space group Cmcm (No. 63)
Symmetry-distinct sites (fractional):
La 0.000 0.084 0.250 [4 per cell]
Dy 0.000 0.416 0.750 [4 per cell]
Ho 0.250 0.168 0.750 [8 per cell]

Values from the calculation:
Energy: -4.651 eV/atom
Energy relative to the elements: 0.021 eV per atom

=====

Entry 4:
Material: GaNi2Au
Method: DFT, PBE
State: optimized geometry

abc: 2.929 2.929 6.253
angles: 90.00 90.00 90.00
Space group P4/mmm (No. 123)
Symmetry-distinct sites (fractional):
Ga 0.000 0.000 0.000 [1 per cell]
Ni 0.500 0.500 0.218 [2 per cell]
Au 0.000 0.000 0.500 [1 per cell]

Values from the calculation:
Energy: -4.662 eV/atom
Energy relative to the elements: -0.196 eV per atom

=====

Entry 5:
Material: As2RhSe
Method: DFT, PBE
State: optimized geometry

abc: 5.277 5.277 5.249
angles: 90.00 90.00 90.00
Space group I4/mmm (No. 139)
Symmetry-distinct sites (fractional):
As 0.000 0.500 0.000 [4 per cell]
Rh 0.000 0.000 0.000 [2 per cell]
Se 0.000 0.000 0.500 [2 per cell]

Values from the calculation:
Energy: -5.063 eV/atom
Energy relative to the elements, uncorrected: -2.8 kJ/mol of atoms

=====

Entry 6:
Material: AcErB
Method: DFT, PBE
State: optimized geometry

abc: 13.536 3.336 7.319
angles: 90.00 94.01 90.00
Space group C2/m (No. 12)
Symmetry-distinct sites (fractional):
Ac 0.149 0.000 0.169 [4 per cell]
Er 0.110 0.000 0.653 [4 per cell]
B 0.227 0.500 0.501 [4 per cell]

Values from the calculation:
Energy: -5.076 eV/atom
Energy relative to the elements: 0.040 eV per atom

=====

Entry 7:
Material: Cs5HgBr8
Method: DFT, PBE
State: optimized geometry

abc: 10.465 10.465 11.908
angles: 90.00 90.00 90.00
Space group I-4 (No. 82)
Symmetry-distinct sites (fractional):
Cs 0.000 0.000 0.000 [2 per cell]
Cs 0.137 0.733 0.615 [8 per cell]
Hg 0.000 0.500 0.250 [2 per cell]
Br 0.060 0.744 0.301 [8 per cell]
Br 0.104 0.687 0.917 [8 per cell]

Values from the calculation:
Energy: -2.581 eV/atom
Energy relative to the elements, uncorrected: -125.3 kJ/mol of atoms

=====

Entry 8:
Material: CePd7
Method: DFT, PBE
State: optimized geometry

abc: 8.090 8.090 8.090
angles: 90.00 90.00 90.00
Space group Fm-3m (No. 225)
Symmetry-distinct sites (fractional):
Ce 0.000 0.000 0.000 [4 per cell]
Pd 0.000 0.000 0.500 [4 per cell]
Pd 0.000 0.250 0.250 [24 per cell]

Values from the calculation:
Energy: -5.750 eV/atom
Energy relative to the elements: -0.465 eV per atom

=====

Entry 9:
Material: Sc3Te2O
Method: DFT, PBE
State: optimized geometry

abc: 11.451 7.433 6.039
angles: 90.00 90.00 90.00
Space group Cmc2_1 (No. 36)
Symmetry-distinct sites (fractional):
Sc 0.000 0.140 0.000 [4 per cell]
Sc 0.134 0.496 0.346 [8 per cell]
Te 0.160 0.160 0.610 [8 per cell]
O 0.000 0.411 0.101 [4 per cell]

Values from the calculation:
Energy: -6.634 eV/atom
Energy relative to the elements, uncorrected: -153.8 kJ/mol of atoms

=====

Entry 10:
Material: LiMnCo2
Method: DFT, PBE
State: optimized geometry

abc: 5.718 5.718 5.718
angles: 90.00 90.00 90.00
Space group F-43m (No. 216)
Symmetry-distinct sites (fractional):
Li 0.000 0.000 0.000 [4 per cell]
Mn 0.250 0.250 0.750 [4 per cell]
Co 0.000 0.000 0.500 [4 per cell]
Co 0.250 0.250 0.250 [4 per cell]

Values from the calculation:
Energy: -6.153 eV/atom
Energy relative to the elements: 0.170 eV per atom

=====

Entry 11:
Material: Dy2Pd3Au3
Method: DFT, PBE
State: optimized geometry

abc: 5.183 5.188 11.504
angles: 90.00 90.00 90.00
Space group Immm (No. 71)
Symmetry-distinct sites (fractional):
Dy 0.000 0.000 0.246 [4 per cell]
Pd 0.000 0.000 0.000 [2 per cell]
Pd 0.000 0.500 0.122 [4 per cell]
Au 0.000 0.000 0.500 [2 per cell]
Au 0.000 0.500 0.378 [4 per cell]

Values from the calculation:
Energy: -5.011 eV/atom
Energy relative to the elements: -0.684 eV per atom

=====

Entry 12:
Material: Pm5IrPd4
Method: DFT, PBE
State: optimized geometry

abc: 3.554 3.554 18.253
angles: 90.00 90.00 90.00
Space group P4/mmm (No. 123)
Symmetry-distinct sites (fractional):
Pm 0.000 0.000 0.000 [1 per cell]
Pm 0.000 0.000 0.202 [2 per cell]
Pm 0.000 0.000 0.407 [2 per cell]
Ir 0.500 0.500 0.500 [1 per cell]
Pd 0.500 0.500 0.100 [2 per cell]
Pd 0.500 0.500 0.300 [2 per cell]

Values from the calculation:
Energy: -6.089 eV/atom
Energy relative to the elements: -0.751 eV per atom

=====

- Among the records above, which one has the lowest energy?
  CaOs2Ru

=====

- Among the records above, which one has the highest energy?
  Cs5HgBr8